No. 1
Density functional theory data (PBE) for a relaxed structure of Ho7Zn2Ga2.

The space group is Cmmm (No. 65) and the conventional cell measures 7.414, 10.767 and 7.429 Å, with angles of 90.00, 90.00 and 90.00 degrees. The inequivalent atoms are Ho at (0.000, 0.000, 0.000), Ho at (0.000, 0.500, 0.257), Ho at (0.250, 0.250, 0.284), Zn at (0.000, 0.291, 0.000) and Ga at (0.172, 0.000, 0.500).

Its theoretical density is 7.979 g/cm3. As for the energy of formation: -0.079 eV per atom.

***

No. 2
Density functional theory data (PBE) for a relaxed structure of Cs3PaCl7.

The space group is Cm (No. 8) and the conventional cell measures 11.723, 10.891 and 8.787 Å, with angles of 90.00, 128.05 and 90.00 degrees. The inequivalent atoms are Cs at (0.000, 0.000, 0.000), Cs at (0.008, 0.268, 0.571), Pa at (0.052, 0.500, 0.122), Cl at (0.119, 0.265, 0.277), Cl at (0.199, 0.500, 0.980), Cl at (0.333, 0.500, 0.495), Cl at (0.367, 0.155, 0.823) and Cl at (0.376, 0.000, 0.224).

The value obtained for the uncorrected formation energy is -1985 meV/atom. Its theoretical density is 3.300 g/cm3.

***

No. 3
Density functional theory data (PBE) for a relaxed structure of YRu3.

The space group is P-6m2 (No. 187) and the conventional cell measures 2.8913, 2.8913 and 9.1517 Å, with angles of 90.00, 90.00 and 120.00 degrees. The inequivalent atoms are Y at (0.0000, 0.0000, 0.0000), Ru at (0.0000, 0.0000, 0.5000) and Ru at (0.6667, 0.3333, 0.2790).

Its theoretical density is 9.828 g/cm3. As for the energy of formation: 0.347 eV per atom.

***

No. 4
Density functional theory data (PBE) for a relaxed structure of Nb2CuPd.

The space group is I-42d (No. 122) and the conventional cell measures 7.244, 7.244 and 5.205 Å, with angles of 90.00, 90.00 and 90.00 degrees. The inequivalent atoms are Nb at (0.239, 0.250, 0.125), Cu at (0.000, 0.000, 0.000) and Pd at (0.000, 0.000, 0.500).

Its theoretical density is 8.654 g/cm3. As for the energy of formation: 0.329 eV per atom.

***

No. 5
Density functional theory data (PBE) for a relaxed structure of Ac2DyIn12Pt3.

The space group is R-3m (No. 166, hexagonal axes) and the conventional cell measures 9.6086, 9.6086 and 20.4055 Å, with angles of 90.00, 90.00 and 120.00 degrees. The inequivalent atoms are Ac at (0.0000, 0.0000, 0.0841), Dy at (0.0000, 0.0000, 0.5000), In at (0.0584, 0.5292, 0.2993), In at (0.0732, 0.5366, 0.8722) and Pt at (0.0000, 0.5000, 0.0000).

Its theoretical density is 7.876 g/cm3. As for the energy of formation: -0.145 eV per atom.

***

No. 6
Density functional theory data (PBE) for a relaxed structure of Ti3V8Sn.

The space group is P3m1 (No. 156) and the conventional cell measures 5.0859, 5.0859 and 8.1150 Å, with angles of 90.00, 90.00 and 120.00 degrees. The inequivalent atoms are Ti at (0.0000, 0.0000, 0.0000), Ti at (0.0000, 0.0000, 0.3693), Ti at (0.3333, 0.6667, 0.8817), V at (0.0040, 0.5020, 0.1842), V at (0.3249, 0.1624, 0.6939), V at (0.6667, 0.3333, 0.4304), V at (0.6667, 0.3333, 0.9342) and Sn at (0.3333, 0.6667, 0.5024).

Its theoretical density is 6.119 g/cm3. As for the energy of formation: 0.022 eV per atom.

***

No. 7
Density functional theory data (PBE) for a relaxed structure of MnSi2Ag.

The space group is R-3m (No. 166, hexagonal axes) and the conventional cell measures 2.8281, 2.8281 and 24.4186 Å, with angles of 90.00, 90.00 and 120.00 degrees. The inequivalent atoms are Mn at (0.0000, 0.0000, 0.0000), Si at (0.0000, 0.0000, 0.2620) and Ag at (0.0000, 0.0000, 0.5000).

The value obtained for the uncorrected formation energy is 64 meV/atom. Its theoretical density is 6.450 g/cm3. Its offset from the most stable computed form is 102 meV/atom.

***

No. 8
Density functional theory data (PBE) for a relaxed structure of CsSr2Hg2Bi2.

The space group is R-3m (No. 166, hexagonal axes) and the conventional cell measures 5.6477, 5.6477 and 31.9247 Å, with angles of 90.00, 90.00 and 120.00 degrees. The inequivalent atoms are Cs at (0.0000, 0.0000, 0.0000), Sr at (0.0000, 0.0000, 0.1317), Hg at (0.0000, 0.0000, 0.4499) and Bi at (0.0000, 0.0000, 0.2432).

Its theoretical density is 6.368 g/cm3. As for the energy of formation: -0.509 eV per atom.

***

No. 9
Density functional theory data (PBE) for a relaxed structure of CsHg2Pt.

The space group is P4/mmm (No. 123) and the conventional cell measures 5.319, 5.319 and 5.655 Å, with angles of 90.00, 90.00 and 90.00 degrees. The inequivalent atoms are Cs at (0.000, 0.000, 0.000), Hg at (0.000, 0.500, 0.500) and Pt at (0.500, 0.500, 0.500).

Its theoretical density is 7.568 g/cm3. As for the energy of formation: -0.127 eV per atom. Its offset from the most stable computed form is 32 meV/atom.

***

No. 10
Density functional theory data (PBE) for a relaxed structure of AlIr2Cl.

The space group is R-3m (No. 166, hexagonal axes) and the conventional cell measures 2.9144, 2.9144 and 24.5702 Å, with angles of 90.00, 90.00 and 120.00 degrees. The inequivalent atoms are Al at (0.0000, 0.0000, 0.0000), Ir at (0.0000, 0.0000, 0.2545) and Cl at (0.0000, 0.0000, 0.5000).

The value obtained for the uncorrected formation energy is 32 meV/atom. Its theoretical density is 12.317 g/cm3. Its offset from the most stable computed form is 84 meV/atom.

***

No. 11
Density functional theory data (PBE) for a relaxed structure of LiYRu2.

The space group is Pmm2 (No. 25) and the conventional cell measures 2.982, 3.871 and 5.902 Å, with angles of 90.00, 90.00 and 90.00 degrees. The inequivalent atoms are Li at (0.000, 0.000, 0.000), Y at (0.500, 0.500, 0.703), Ru at (0.000, 0.000, 0.415) and Ru at (0.500, 0.500, 0.231).

Its theoretical density is 7.263 g/cm3. As for the energy of formation: 0.132 eV per atom. Its offset from the most stable computed form is 48 meV/atom.

***

No. 12
Density functional theory data (PBE) for a relaxed structure of K3Sn5Pd6.

The space group is Pmmn (No. 59, origin choice 2) and the conventional cell measures 4.438, 13.830 and 11.203 Å, with angles of 90.00, 90.00 and 90.00 degrees. The inequivalent atoms are K at (0.250, 0.108, 0.249), K at (0.250, 0.750, 0.244), Sn at (0.250, 0.071, 0.654), Sn at (0.250, 0.627, 0.992), Sn at (0.250, 0.750, 0.577), Pd at (0.250, 0.052, 0.899), Pd at (0.250, 0.250, 0.548), Pd at (0.250, 0.250, 0.989) and Pd at (0.250, 0.572, 0.483).

Its theoretical density is 6.517 g/cm3. As for the energy of formation: -0.359 eV per atom.

***

No. 13
Density functional theory data (PBE) for a relaxed structure of SrPAu.

The space group is P6_3/mmc (No. 194) and the conventional cell measures 5.1900, 5.1900 and 6.0376 Å, with angles of 90.00, 90.00 and 120.00 degrees. The inequivalent atoms are Sr at (0.3333, 0.6667, 0.2500), P at (0.3333, 0.6667, 0.7500) and Au at (0.0000, 0.0000, 0.0000).

Its theoretical density is 7.441 g/cm3. As for the energy of formation: -0.381 eV per atom.

***

No. 14
Density functional theory data (PBE) for a relaxed structure of La3GeF.

The space group is Pm-3m (No. 221) and the conventional cell measures 5.028, 5.028 and 5.028 Å, with angles of 90.00, 90.00 and 90.00 degrees. The inequivalent atoms are La at (0.000, 0.000, 0.500), Ge at (0.500, 0.500, 0.500) and F at (0.000, 0.000, 0.000).

The value obtained for the uncorrected formation energy is -1182 meV/atom. Its theoretical density is 6.642 g/cm3. Its offset from the most stable computed form is 0 meV/atom.

***

No. 15
Density functional theory data (PBE) for a relaxed structure of TlIr.

The space group is Pmmn (No. 59, origin choice 2) and the conventional cell measures 3.106, 5.148 and 4.723 Å, with angles of 90.00, 90.00 and 90.00 degrees. The inequivalent atoms are Tl at (0.250, 0.250, 0.099) and Ir at (0.250, 0.750, 0.414).

Its theoretical density is 17.439 g/cm3. As for the energy of formation: 0.658 eV per atom.

***

No. 16
Density functional theory data (PBE) for a relaxed structure of Ce2Zn2Si3.

The space group is Cmcm (No. 63) and the conventional cell measures 4.315, 18.382 and 6.765 Å, with angles of 90.00, 90.00 and 90.00 degrees. The inequivalent atoms are Ce at (0.000, 0.049, 0.250), Ce at (0.000, 0.158, 0.750), Zn at (0.000, 0.318, 0.560), Si at (0.000, 0.217, 0.250) and Si at (0.000, 0.442, 0.075).

The value obtained for the uncorrected formation energy is -499 meV/atom. Its theoretical density is 6.131 g/cm3.

***

No. 17
Density functional theory data (PBE) for a relaxed structure of Tb4Sm3Rh4.

The space group is Immm (No. 71) and the conventional cell measures 3.827, 8.911 and 15.955 Å, with angles of 90.00, 90.00 and 90.00 degrees. The inequivalent atoms are Tb at (0.000, 0.188, 0.166), Sm at (0.000, 0.000, 0.398), Sm at (0.000, 0.500, 0.500), Rh at (0.000, 0.284, 0.000) and Rh at (0.000, 0.500, 0.252).

Its theoretical density is 9.145 g/cm3. As for the energy of formation: -0.589 eV per atom.

***

No. 18
Density functional theory data (PBE) for a relaxed structure of PuP2O8.

The space group is C2/m (No. 12) and the conventional cell measures 10.947, 6.269 and 5.071 Å, with angles of 90.00, 99.58 and 90.00 degrees. The inequivalent atoms are Pu at (0.000, 0.000, 0.000), P at (0.184, 0.000, 0.661), O at (0.115, 0.189, 0.788), O at (0.136, 0.000, 0.350) and O at (0.179, 0.500, 0.278).

The value obtained for the uncorrected formation energy is -2039 meV/atom. Its theoretical density is 4.200 g/cm3.

***

No. 19
Density functional theory data (PBE) for a relaxed structure of SrNdMg2Hg4.

The space group is R-3m (No. 166, hexagonal axes) and the conventional cell measures 5.2094, 5.2094 and 25.9827 Å, with angles of 90.00, 90.00 and 120.00 degrees. The inequivalent atoms are Sr at (0.0000, 0.0000, 0.0000), Nd at (0.0000, 0.0000, 0.5000), Mg at (0.0000, 0.0000, 0.2479), Hg at (0.0000, 0.0000, 0.1256) and Hg at (0.0000, 0.0000, 0.3779).

Its theoretical density is 8.834 g/cm3. As for the energy of formation: -0.430 eV per atom.

***

No. 20
Density functional theory data (PBE) for a relaxed structure of Tl2Ag2HgCl6.

The space group is C2/m (No. 12) and the conventional cell measures 14.178, 7.342 and 7.249 Å, with angles of 90.00, 120.65 and 90.00 degrees. The inequivalent atoms are Tl at (0.243, 0.000, 0.193), Ag at (0.075, 0.500, 0.235), Hg at (0.000, 0.000, 0.500), Cl at (0.060, 0.249, 0.806) and Cl at (0.227, 0.000, 0.617).

The value obtained for the uncorrected formation energy is -661 meV/atom. Its theoretical density is 5.309 g/cm3.

***

No. 21
Density functional theory data (PBE) for a relaxed structure of K2ReNi.

The space group is Cm (No. 8) and the conventional cell measures 6.939, 4.004 and 10.028 Å, with angles of 90.00, 100.61 and 90.00 degrees. The inequivalent atoms are K at (0.000, 0.000, 0.000), K at (0.138, 0.000, 0.521), Re at (0.236, 0.500, 0.261) and Ni at (0.402, 0.000, 0.261).

Its theoretical density is 3.919 g/cm3. As for the energy of formation: 0.880 eV per atom. Its offset from the most stable computed form is 115 meV/atom.

***

No. 22
Density functional theory data (PBE) for a relaxed structure of CsCSe.

The space group is R3m (No. 160, hexagonal axes) and the conventional cell measures 6.0329, 6.0329 and 10.1438 Å, with angles of 90.00, 90.00 and 120.00 degrees. The inequivalent atoms are Cs at (0.0000, 0.0000, 0.0000), C at (0.0000, 0.0000, 0.6852) and Se at (0.0000, 0.0000, 0.5096).

The value obtained for the uncorrected formation energy is 648 meV/atom. Its theoretical density is 3.488 g/cm3. Its offset from the most stable computed form is 902 meV/atom.

***

No. 23
Density functional theory data (PBE) for a relaxed structure of DyYPd4.

The space group is F-43m (No. 216) and the conventional cell measures 7.706, 7.706 and 7.706 Å, with angles of 90.00, 90.00 and 90.00 degrees. The inequivalent atoms are Dy at (0.000, 0.000, 0.000), Y at (0.250, 0.250, 0.250) and Pd at (0.125, 0.125, 0.625).

Its theoretical density is 9.827 g/cm3. As for the energy of formation: -0.804 eV per atom. Its offset from the most stable computed form is 87 meV/atom.

***

No. 24
Density functional theory data (PBE) for a relaxed structure of GeB3Cl.

The space group is Pm-3m (No. 221) and the conventional cell measures 4.285, 4.285 and 4.285 Å, with angles of 90.00, 90.00 and 90.00 degrees. The inequivalent atoms are Ge at (0.000, 0.000, 0.000), B at (0.000, 0.000, 0.500) and Cl at (0.500, 0.500, 0.500).

The value obtained for the uncorrected formation energy is 1841 meV/atom. Its theoretical density is 2.966 g/cm3. Its offset from the most stable computed form is 0 meV/atom.